1.
{"formula": "Ir2PtAu", "functional": "PBE", "state": "relaxed", "formation_enthalpy_0k_mev_per_atom": 109, "relative_energy_mev_per_atom": 0, "magnetic_moment_mub_per_fu": 0.00, "cell": [[1.3972, 0.8067, 9.2550], [-1.3972, 0.8067, 9.2550], [0.0000, -1.6134, 9.2550]], "species": ["Ir", "Ir", "Pt", "Au"], "frac_coords": [[0.0000, 0.0000, 0.0000], [0.2573, 0.2573, 0.2573], [0.5086, 0.5086, 0.5086], [0.7536, 0.7536, 0.7536]]}



2.
{"formula": "KRb3Ge", "functional": "PBE", "state": "relaxed", "formation_enthalpy_0k_mev_per_atom": 653, "relative_energy_mev_per_atom": 490, "magnetic_moment_mub_per_fu": 2.01, "cell": [[7.6399, 0.0000, 0.0000], [0.0000, 7.6399, 0.0000], [0.0000, 0.0000, 7.6399]], "species": ["K", "Rb", "Rb", "Rb", "Ge"], "frac_coords": [[0.0000, 0.0000, 0.0000], [0.0000, 0.0000, 0.5000], [0.0000, 0.5000, 0.0000], [0.5000, 0.0000, 0.0000], [0.5000, 0.5000, 0.5000]]}